Material: PuHfS2
Method: DFT, PBE
State: optimized geometry

Structure (extended XYZ):
```
4
Lattice="-3.285 1.401 -1.305 -3.292 -1.599 1.031 -2.610 4.934 6.329" Properties=species:S:1:pos:R:3 pbc="T T T"
Hf 0.000 0.000 0.000
S -6.702 1.302 1.653
S -2.485 3.434 4.403
Pu -4.593 2.368 3.028
```

crystal system	trigonal
calculated total energy	-36.25	eV/cell
SG	R-3m, No. 166

***

Material: Pu2HfS5
Method: DFT, PBE
State: optimized geometry

Structure (extended XYZ):
```
32
Lattice="7.197 0.000 0.000 0.000 7.928 0.000 0.000 0.000 11.241" Properties=species:S:1:pos:R:3 pbc="T T T"
S 1.213 1.982 8.873
Hf 0.535 1.982 0.101
Pu 6.835 3.963 7.560
S 1.272 4.261 0.900
Pu 0.362 3.966 3.681
S 4.811 5.946 7.989
S 3.974 5.946 11.205
Pu 0.362 7.927 3.681
S 5.925 3.667 10.341
S 1.069 5.946 9.087
S 2.326 4.261 6.520
S 6.127 1.982 2.154
Hf 4.133 5.946 5.519
S 4.668 1.982 7.774
S 3.223 1.982 0.036
Pu 3.961 3.963 1.940
Pu 3.236 7.927 9.301
Hf 3.063 1.982 5.722
S 4.870 3.667 4.721
S 5.925 0.297 10.341
Pu 3.236 3.966 9.301
Hf 6.662 5.946 11.140
S 6.822 5.946 5.585
Pu 6.835 0.001 7.560
S 0.375 1.982 5.656
S 2.529 5.946 3.466
S 4.870 0.297 4.721
S 2.326 7.631 6.520
S 2.386 1.982 3.252
S 5.984 5.946 2.368
Pu 3.961 0.001 1.940
S 1.272 7.631 0.900
```

crystal system	orthorhombic
calculated total energy	-289.67	eV/cell
SG	Pnma, No. 62